*P*
First-principles (PBE) data for a relaxed structure of V2AuCl, as listed in Alexandria.

Output
DOS(E_F) (states/eV per cell): 6.007

```
data_V2AuCl
_cell_length_a 4.426
_cell_length_b 4.426
_cell_length_c 4.426
_cell_angle_alpha 60.00
_cell_angle_beta 60.00
_cell_angle_gamma 60.00
_symmetry_space_group_name_H-M 'P 1'
_symmetry_Int_Tables_number 1
loop_
_symmetry_equiv_pos_as_xyz
'x,y,z'
loop_
_atom_site_label
_atom_site_fract_x
_atom_site_fract_y
_atom_site_fract_z
V1 0.250 0.250 0.250
V2 0.750 0.750 0.750
Au1 0.000 0.000 0.000
Cl1 0.500 0.500 0.500
```

=====

*Q*
First-principles (PBE) data for a relaxed structure of V2AuCl, as listed in Alexandria.

Output
DOS(E_F) (states/eV per cell): 9.143

```
data_V2AuCl
_cell_length_a 6.985
_cell_length_b 6.985
_cell_length_c 6.985
_cell_angle_alpha 133.55
_cell_angle_beta 133.55
_cell_angle_gamma 67.80
_symmetry_space_group_name_H-M 'P 1'
_symmetry_Int_Tables_number 1
loop_
_symmetry_equiv_pos_as_xyz
'x,y,z'
loop_
_atom_site_label
_atom_site_fract_x
_atom_site_fract_y
_atom_site_fract_z
V1 0.088 0.625 0.963
V2 0.375 0.338 0.463
V3 0.662 0.125 0.037
V4 0.875 0.912 0.537
Au1 0.250 0.750 0.500
Au2 0.500 0.500 0.000
Cl1 0.000 0.000 0.000
Cl2 0.750 0.250 0.500
```

=====

Order from most stable to least stable according to the calculation: *P*, *Q*

=====

*P*
First-principles (PBE) data for a relaxed structure of VAuCl2, as listed in Alexandria.

Output
DOS(E_F) (states/eV per cell): 1.273

```
data_VAuCl2
_cell_length_a 10.914
_cell_length_b 10.914
_cell_length_c 10.914
_cell_angle_alpha 15.95
_cell_angle_beta 15.95
_cell_angle_gamma 15.95
_symmetry_space_group_name_H-M 'P 1'
_symmetry_Int_Tables_number 1
loop_
_symmetry_equiv_pos_as_xyz
'x,y,z'
loop_
_atom_site_label
_atom_site_fract_x
_atom_site_fract_y
_atom_site_fract_z
V1 0.000 0.000 0.000
Au1 0.500 0.500 0.500
Cl1 0.383 0.383 0.383
Cl2 0.617 0.617 0.617
```

=====

*Q*
First-principles (PBE) data for a relaxed structure of VAuCl2, as listed in Alexandria.

Output
DOS(E_F) (states/eV per cell): 6.802

```
data_VAuCl2
_cell_length_a 6.549
_cell_length_b 6.549
_cell_length_c 6.549
_cell_angle_alpha 99.66
_cell_angle_beta 99.66
_cell_angle_gamma 131.63
_symmetry_space_group_name_H-M 'P 1'
_symmetry_Int_Tables_number 1
loop_
_symmetry_equiv_pos_as_xyz
'x,y,z'
loop_
_atom_site_label
_atom_site_fract_x
_atom_site_fract_y
_atom_site_fract_z
V1 0.000 0.000 0.000
V2 0.750 0.250 0.500
Au1 0.250 0.750 0.500
Au2 0.500 0.500 0.000
Cl1 0.375 0.225 0.350
Cl2 0.775 0.125 0.150
Cl3 0.875 0.025 0.650
Cl4 0.975 0.625 0.850
```

=====

Order from most stable to least stable according to the calculation: *P*, *Q*

=====

*P*
First-principles (PBE) data for a relaxed structure of VAuCl3, as listed in Alexandria.

Output
DOS(E_F) (states/eV per cell): 11.562

```
data_VAuCl3
_cell_length_a 5.075
_cell_length_b 5.075
_cell_length_c 5.075
_cell_angle_alpha 90.00
_cell_angle_beta 90.00
_cell_angle_gamma 90.00
_symmetry_space_group_name_H-M 'P 1'
_symmetry_Int_Tables_number 1
loop_
_symmetry_equiv_pos_as_xyz
'x,y,z'
loop_
_atom_site_label
_atom_site_fract_x
_atom_site_fract_y
_atom_site_fract_z
V1 0.000 0.000 0.000
Au1 0.500 0.500 0.500
Cl1 0.000 0.500 0.500
Cl2 0.500 0.000 0.500
Cl3 0.500 0.500 0.000
```

=====

*Q*
First-principles (PBE) data for a relaxed structure of VAuCl3, as listed in Alexandria.

Output
DOS(E_F) (states/eV per cell): 4.149

```
data_VAuCl3
_cell_length_a 4.818
_cell_length_b 4.818
_cell_length_c 4.818
_cell_angle_alpha 90.00
_cell_angle_beta 90.00
_cell_angle_gamma 90.00
_symmetry_space_group_name_H-M 'P 1'
_symmetry_Int_Tables_number 1
loop_
_symmetry_equiv_pos_as_xyz
'x,y,z'
loop_
_atom_site_label
_atom_site_fract_x
_atom_site_fract_y
_atom_site_fract_z
V1 0.000 0.000 0.000
Au1 0.500 0.500 0.500
Cl1 0.000 0.000 0.500
Cl2 0.000 0.500 0.000
Cl3 0.500 0.000 0.000
```

=====

Order from most stable to least stable according to the calculation: *Q*, *P*

=====

*P*
First-principles (PBE) data for a relaxed structure of WAu2Cl, as listed in Alexandria.

Output
DOS(E_F) (states/eV per cell): 1.819

```
data_WAu2Cl
_cell_length_a 4.406
_cell_length_b 4.406
_cell_length_c 6.136
_cell_angle_alpha 99.01
_cell_angle_beta 99.01
_cell_angle_gamma 38.17
_symmetry_space_group_name_H-M 'P 1'
_symmetry_Int_Tables_number 1
loop_
_symmetry_equiv_pos_as_xyz
'x,y,z'
loop_
_atom_site_label
_atom_site_fract_x
_atom_site_fract_y
_atom_site_fract_z
W1 0.000 0.000 0.000
Au1 0.267 0.267 0.709
Au2 0.515 0.515 0.438
Cl1 0.739 0.739 0.141
```

=====

*Q*
First-principles (PBE) data for a relaxed structure of WAu2Cl, as listed in Alexandria.

Output
DOS(E_F) (states/eV per cell): 2.063

```
data_WAu2Cl
_cell_length_a 7.430
_cell_length_b 7.430
_cell_length_c 7.430
_cell_angle_alpha 157.81
_cell_angle_beta 144.00
_cell_angle_gamma 42.70
_symmetry_space_group_name_H-M 'P 1'
_symmetry_Int_Tables_number 1
loop_
_symmetry_equiv_pos_as_xyz
'x,y,z'
loop_
_atom_site_label
_atom_site_fract_x
_atom_site_fract_y
_atom_site_fract_z
W1 0.000 0.000 0.000
Au1 0.176 0.676 0.500
Au2 0.551 0.551 0.000
Cl1 0.859 0.359 0.500
```

=====

Order from most stable to least stable according to the calculation: *Q*, *P*

=====

*P*
First-principles (PBE) data for a relaxed structure of WAu2Cl, as listed in Alexandria.

Output
DOS(E_F) (states/eV per cell): 2.506

```
data_WAu2Cl
_cell_length_a 6.815
_cell_length_b 6.815
_cell_length_c 6.815
_cell_angle_alpha 156.17
_cell_angle_beta 142.23
_cell_angle_gamma 45.16
_symmetry_space_group_name_H-M 'P 1'
_symmetry_Int_Tables_number 1
loop_
_symmetry_equiv_pos_as_xyz
'x,y,z'
loop_
_atom_site_label
_atom_site_fract_x
_atom_site_fract_y
_atom_site_fract_z
W1 0.000 0.000 0.000
Au1 0.195 0.695 0.500
Au2 0.805 0.305 0.500
Cl1 0.500 0.500 0.000
```

=====

*Q*
First-principles (PBE) data for a relaxed structure of WAu2Cl, as listed in Alexandria.

Output
DOS(E_F) (states/eV per cell): 2.211

```
data_WAu2Cl
_cell_length_a 2.951
_cell_length_b 3.000
_cell_length_c 8.321
_cell_angle_alpha 90.00
_cell_angle_beta 90.14
_cell_angle_gamma 90.00
_symmetry_space_group_name_H-M 'P 1'
_symmetry_Int_Tables_number 1
loop_
_symmetry_equiv_pos_as_xyz
'x,y,z'
loop_
_atom_site_label
_atom_site_fract_x
_atom_site_fract_y
_atom_site_fract_z
W1 0.000 0.000 0.000
Au1 0.499 0.500 0.771
Au2 0.501 0.500 0.229
Cl1 0.500 0.000 0.500
```

=====

*R*
First-principles (PBE) data for a relaxed structure of WAu2Cl, as listed in Alexandria.

Output
DOS(E_F) (states/eV per cell): 2.025

```
data_WAu2Cl
_cell_length_a 2.948
_cell_length_b 2.948
_cell_length_c 9.119
_cell_angle_alpha 90.00
_cell_angle_beta 90.00
_cell_angle_gamma 115.62
_symmetry_space_group_name_H-M 'P 1'
_symmetry_Int_Tables_number 1
loop_
_symmetry_equiv_pos_as_xyz
'x,y,z'
loop_
_atom_site_label
_atom_site_fract_x
_atom_site_fract_y
_atom_site_fract_z
W1 0.000 0.000 0.000
Au1 0.500 0.500 0.249
Au2 0.500 0.500 0.751
Cl1 0.000 0.000 0.500
```

=====

*S*
First-principles (PBE) data for a relaxed structure of WAu2Cl, as listed in Alexandria.

Output
DOS(E_F) (states/eV per cell): 4.523

```
data_WAu2Cl
_cell_length_a 5.202
_cell_length_b 5.202
_cell_length_c 2.746
_cell_angle_alpha 90.00
_cell_angle_beta 90.00
_cell_angle_gamma 90.00
_symmetry_space_group_name_H-M 'P 1'
_symmetry_Int_Tables_number 1
loop_
_symmetry_equiv_pos_as_xyz
'x,y,z'
loop_
_atom_site_label
_atom_site_fract_x
_atom_site_fract_y
_atom_site_fract_z
W1 0.000 0.000 0.000
Au1 0.000 0.500 0.500
Au2 0.500 0.000 0.500
Cl1 0.500 0.500 0.000
```

=====

Order from most stable to least stable according to the calculation: *Q*, *R*, *P*, *S*

=====

*P*
First-principles (PBE) data for a relaxed structure of W2AuCl, as listed in Alexandria.

Output
DOS(E_F) (states/eV per cell): 3.101

```
data_W2AuCl
_cell_length_a 5.508
_cell_length_b 5.508
_cell_length_c 5.508
_cell_angle_alpha 150.46
_cell_angle_beta 124.04
_cell_angle_gamma 64.54
_symmetry_space_group_name_H-M 'P 1'
_symmetry_Int_Tables_number 1
loop_
_symmetry_equiv_pos_as_xyz
'x,y,z'
loop_
_atom_site_label
_atom_site_fract_x
_atom_site_fract_y
_atom_site_fract_z
W1 0.229 0.229 0.000
W2 0.771 0.771 0.000
Au1 0.500 0.000 0.500
Cl1 0.000 0.500 0.500
```

=====

*Q*
First-principles (PBE) data for a relaxed structure of W2AuCl, as listed in Alexandria.

Output
DOS(E_F) (states/eV per cell): 0.506

```
data_W2AuCl
_cell_length_a 4.497
_cell_length_b 4.497
_cell_length_c 4.497
_cell_angle_alpha 60.00
_cell_angle_beta 60.00
_cell_angle_gamma 60.00
_symmetry_space_group_name_H-M 'P 1'
_symmetry_Int_Tables_number 1
loop_
_symmetry_equiv_pos_as_xyz
'x,y,z'
loop_
_atom_site_label
_atom_site_fract_x
_atom_site_fract_y
_atom_site_fract_z
W1 0.250 0.250 0.250
W2 0.750 0.750 0.750
Au1 0.000 0.000 0.000
Cl1 0.500 0.500 0.500
```

=====

Order from most stable to least stable according to the calculation: *P*, *Q*